# SrReAs (PBE-GGA, optimized geometry)
data_SrReAs
_cell_length_a 4.6184
_cell_length_b 4.6184
_cell_length_c 4.6184
_cell_angle_alpha 60.00
_cell_angle_beta 60.00
_cell_angle_gamma 60.00
_symmetry_space_group_name_H-M 'P 1'
_symmetry_Int_Tables_number 1
_symmetry_space_group_name_Hall 'P 1'
loop_
_atom_site_label
_atom_site_fract_x
_atom_site_fract_y
_atom_site_fract_z
As1 0.7500 0.7500 0.7500
Sr1 0.5000 0.5000 0.5000
Re1 0.0000 0.0000 0.0000
# density: 8.31 g/cm³
# space-group type: F-43m (216)
# E above lowest polymorph: 0.671 eV/atom
# energy of formation: 2.07 eV/f.u.

=====

# NaTlBiPb2 (PBE-GGA, optimized geometry)
data_NaTlBiPb2
_cell_length_a 6.7465
_cell_length_b 6.7633
_cell_length_c 8.4216
_cell_angle_alpha 113.67
_cell_angle_beta 90.00
_cell_angle_gamma 90.00
_symmetry_space_group_name_H-M 'P 1'
_symmetry_Int_Tables_number 1
_symmetry_space_group_name_Hall 'P 1'
loop_
_atom_site_label
_atom_site_fract_x
_atom_site_fract_y
_atom_site_fract_z
Pb1 0.0000 0.2544 0.0000
Pb2 0.0000 0.7456 0.0000
Bi1 0.7500 0.3455 0.6909
Tl1 0.7500 0.1451 0.2902
Bi2 0.2500 0.6545 0.3091
Pb3 0.5000 0.2544 0.0000
Na1 0.2500 0.2388 0.4776
Tl2 0.2500 0.8549 0.7098
Pb4 0.5000 0.7456 0.0000
Na2 0.7500 0.7612 0.5224
# density: 8.03 g/cm³
# space-group type: Cmcm (63)
# energy of formation: -0.03 eV/f.u.

=====

# Ta2ReRh (PBE-GGA, optimized geometry)
data_Ta2ReRh
_cell_length_a 5.8071
_cell_length_b 5.8071
_cell_length_c 5.8071
_cell_angle_alpha 59.08
_cell_angle_beta 152.43
_cell_angle_gamma 128.86
_symmetry_space_group_name_H-M 'P 1'
_symmetry_Int_Tables_number 1
_symmetry_space_group_name_Hall 'P 1'
loop_
_atom_site_label
_atom_site_fract_x
_atom_site_fract_y
_atom_site_fract_z
Ta1 0.0000 0.2442 0.2442
Re1 0.0000 0.5000 0.5000
Ta2 0.0000 0.7558 0.7558
Rh1 0.0000 0.0000 0.0000
# density: 15.42 g/cm³
# space-group type: Immm (71)
# energy of formation: 2.30 eV/f.u.

=====

# Ce2TcSb (PBE-GGA, optimized geometry)
data_Ce2TcSb
_cell_length_a 3.8445
_cell_length_b 3.8445
_cell_length_c 6.3389
_cell_angle_alpha 90.00
_cell_angle_beta 90.00
_cell_angle_gamma 90.00
_symmetry_space_group_name_H-M 'P 1'
_symmetry_Int_Tables_number 1
_symmetry_space_group_name_Hall 'P 1'
loop_
_atom_site_label
_atom_site_fract_x
_atom_site_fract_y
_atom_site_fract_z
Tc1 0.5000 0.5000 0.0000
Sb1 0.5000 0.5000 0.5000
Ce1 0.0000 0.0000 0.7733
Ce2 0.0000 0.0000 0.2267
# density: 8.86 g/cm³
# space-group type: P4/mmm (123)
# E above lowest polymorph: 0.000 eV/atom
# raw formation energy: -0.3734 eV per atom

=====

# Pm2B3Rh2 (PBE-GGA, optimized geometry)
data_Pm2B3Rh2
_cell_length_a 3.8514
_cell_length_b 5.2062
_cell_length_c 7.2853
_cell_angle_alpha 122.89
_cell_angle_beta 90.00
_cell_angle_gamma 111.71
_symmetry_space_group_name_H-M 'P 1'
_symmetry_Int_Tables_number 1
_symmetry_space_group_name_Hall 'P 1'
loop_
_atom_site_label
_atom_site_fract_x
_atom_site_fract_y
_atom_site_fract_z
Rh1 0.2942 0.5885 0.4025
B1 0.6657 0.3314 0.2659
B2 0.5000 0.0000 0.0000
Pm1 0.9317 0.8633 0.2052
Rh2 0.7058 0.4115 0.5975
Pm2 0.0683 0.1367 0.7948
B3 0.3343 0.6686 0.7341
# density: 7.97 g/cm³
# space-group type: C2/m (12)
# energy of formation: -3.13 eV/f.u.

=====

# ZrSc2Tc (PBE-GGA, optimized geometry)
data_ZrSc2Tc
_cell_length_a 3.6191
_cell_length_b 4.5757
_cell_length_c 4.8118
_cell_angle_alpha 90.00
_cell_angle_beta 90.00
_cell_angle_gamma 90.00
_symmetry_space_group_name_H-M 'P 1'
_symmetry_Int_Tables_number 1
_symmetry_space_group_name_Hall 'P 1'
loop_
_atom_site_label
_atom_site_fract_x
_atom_site_fract_y
_atom_site_fract_z
Tc1 0.5000 0.0000 0.5000
Sc1 0.5000 0.5000 0.0000
Zr1 0.0000 0.5000 0.5000
Sc2 0.0000 0.0000 0.0000
# density: 5.82 g/cm³
# space-group type: Pmmm (47)
# E above lowest polymorph: 0.151 eV/atom
# energy of formation: -0.09 eV/f.u.

=====

# Tm4GeC2 (PBE-GGA, optimized geometry)
data_Tm4GeC2
_cell_length_a 5.9859
_cell_length_b 5.9859
_cell_length_c 5.9859
_cell_angle_alpha 105.10
_cell_angle_beta 105.10
_cell_angle_gamma 118.61
_symmetry_space_group_name_H-M 'P 1'
_symmetry_Int_Tables_number 1
_symmetry_space_group_name_Hall 'P 1'
loop_
_atom_site_label
_atom_site_fract_x
_atom_site_fract_y
_atom_site_fract_z
Tm1 0.8524 0.3312 0.1835
C1 0.7500 0.2500 0.5000
C2 0.2500 0.7500 0.5000
Ge1 0.5000 0.5000 0.0000
Tm2 0.3312 0.1476 0.4788
Tm3 0.1476 0.6688 0.8165
Tm4 0.6688 0.8524 0.5212
# density: 7.92 g/cm³
# space-group type: I4/m (87)
# E above lowest polymorph: 0.381 eV/atom
# energy of formation: -0.97 eV/f.u.

=====

What did the fourth record say?
# Ce2TcSb (PBE-GGA, optimized geometry)
data_Ce2TcSb
_cell_length_a 3.8445
_cell_length_b 3.8445
_cell_length_c 6.3389
_cell_angle_alpha 90.00
_cell_angle_beta 90.00
_cell_angle_gamma 90.00
_symmetry_space_group_name_H-M 'P 1'
_symmetry_Int_Tables_number 1
_symmetry_space_group_name_Hall 'P 1'
loop_
_atom_site_label
_atom_site_fract_x
_atom_site_fract_y
_atom_site_fract_z
Tc1 0.5000 0.5000 0.0000
Sb1 0.5000 0.5000 0.5000
Ce1 0.0000 0.0000 0.7733
Ce2 0.0000 0.0000 0.2267
# density: 8.86 g/cm³
# space-group type: P4/mmm (123)
# E above lowest polymorph: 0.000 eV/atom
# raw formation energy: -0.3734 eV per atom

=====

Question: What is the density in the first record?
Answer: 8.31 g/cm³